(1)
A relaxed PmEr2MoN4 crystal. Source: Alexandria, functional PBE-GGA.

The structure belongs to space group Cmcm (No. 63); the cell edges are 3.408, 11.702 and 11.743 Å and the angles 90.00°, 90.00° and 90.00°. Symmetry generates all atoms from Pm at (0.000, 0.101, 0.250), Er at (0.000, 0.370, 0.039), Mo at (0.000, 0.158, 0.750), N at (0.000, 0.000, 0.000), N at (0.000, 0.263, 0.622) and N at (0.000, 0.444, 0.250).

As for the density of states at the Fermi level: 9.166 states/eV/cell. The formation energy without anion corrections comes out at -1.171 eV/atom.

(2)
A relaxed Sm5ErMg3 crystal. Source: Alexandria, functional PBE-GGA.

The structure belongs to space group P6_3/mcm (No. 193); the cell edges are 9.5039, 9.5039 and 6.9837 Å and the angles 90.00°, 90.00° and 120.00°. Symmetry generates all atoms from Sm at (0.0000, 0.3312, 0.2500), Sm at (0.3333, 0.6667, 0.0000), Er at (0.0000, 0.0000, 0.0000) and Mg at (0.0000, 0.3316, 0.7500).

As for the density of states at the Fermi level: 19.013 states/eV/cell. The formation energy is 0.00 eV per atom.

(3)
A relaxed Pr3Ho6Sc crystal. Source: Alexandria, functional PBE-GGA.

The structure belongs to space group C2/m (No. 12); the cell edges are 9.155, 8.395 and 8.954 Å and the angles 90.00°, 100.84° and 90.00°. Symmetry generates all atoms from Pr at (0.000, 0.000, 0.000), Pr at (0.218, 0.000, 0.749), Ho at (0.114, 0.500, 0.858), Ho at (0.119, 0.185, 0.361) and Sc at (0.000, 0.500, 0.500).

As for the density of states at the Fermi level: 27.944 states/eV/cell. The formation energy is 0.28 eV per atom. The value obtained for the relative energy among the computed polymorphs is 129.8 kJ/mol of formula units.